{
  "formula": "CoCu3F",
  "functional": "GGA+U",
  "state": "relaxed",
  "cell": [[4.421, 0.000, 0.000], [0.000, 4.421, 0.000], [0.000, 0.000, 4.421]],
  "species": ["Cu", "F", "Cu", "Cu", "Co"],
  "fractional_positions": [[0.000, 0.000, 0.500], [0.500, 0.500, 0.500], [0.000, 0.500, 0.000], [0.500, 0.000, 0.000], [0.000, 0.000, 0.000]],
  "de_polymorph_mev_per_atom": 366,
  "crystal_system": "cubic",
  "mass_density_g_cm3": 5.160
}